DFT (GGA-PBE) results for crystalline ScTl2Sb2O6 at its relaxed geometry.

Results
Formation energy without anion corrections   -1520.0 meV per atom
Spin magnetization   0.00 μB/cell
DFT total energy   -65.8 eV for the cell shown
DOS(E_F)   2.56 states/eV/f.u.
Volume   202.2 Å³ per cell

Structure (POSCAR):
```
ScTl2Sb2O6
1.0
-4.9685 -0.6027 3.2913
3.6127 -4.3721 -0.7980
2.7489 5.0549 5.0754
Tl O Sb Sc
2 6 2 1
direct
0.7104 0.4209 0.1920
0.2896 0.5791 0.8080
0.7292 0.4584 0.5324
0.8077 0.0964 0.7117
0.7113 0.9036 0.2883
0.1923 0.9036 0.2883
0.2887 0.0964 0.7117
0.2708 0.5416 0.4676
0.0709 0.1418 0.2478
0.9291 0.8582 0.7522
0.5000 0.0000 0.5000
```